Here is a relaxed OsN2 crystal from OQMD via LeMat-Bulk. Energies are from PBE.

a = 4.805 Å, b = 4.805 Å, c = 2.782 Å
α = 90.00°, β = 90.00°, γ = 90.00°
Space group P4_2/mnm (No. 136)
Inequivalent atoms, fractional coordinates:
Os (0.000, 0.000, 0.000)
N (0.211, 0.211, 0.500)

Output
Spin magnetization in μB/f.u.: 0.00
Total DFT energy (no corrections) in eV/atom: -8.622